# 1
Below is crystalline Rb3ZrH at its relaxed geometry, with properties calculated at the PBE level.

a b c (Å): 5.9894 5.9894 5.9894
angles (deg): 90.00 90.00 90.00
Fractional coordinates of all 5 atoms:
Rb 0.0000 0.0000 0.5000
Rb 0.0000 0.5000 0.0000
Rb 0.5000 0.0000 0.0000
Zr 0.5000 0.5000 0.5000
H 0.0000 0.0000 0.0000

Magnetic moment = 4.000 μB/cell
Total DFT energy (no corrections) = -10.9 eV/cell

***

# 2
Below is crystalline RbZrH2 at its relaxed geometry, with properties calculated at the PBE level.

a b c (Å): 4.6215 4.6215 4.6215
angles (deg): 60.00 60.00 60.00
Fractional coordinates of all 4 atoms:
Rb 0.0000 0.0000 0.0000
Zr 0.5000 0.5000 0.5000
H 0.2500 0.2500 0.2500
H 0.7500 0.7500 0.7500

E above lowest polymorph = 831.2 meV per atom
Magnetic moment = 2.938 μB/cell

***

> Look up the magnetic moment of the second one.

2.938 μB/cell

***

> What is the magnetic moment in the first record?

4.000 μB/cell